1.
Compound: MgTi2Fe
Source: the Alexandria database
Functional: PBE
Structure: optimized geometry

a = 3.029 Å, b = 3.029 Å, c = 7.068 Å
α = 90.00°, β = 90.00°, γ = 90.00°
Atoms (fractional coordinates):
Fe (0.500, 0.500, 0.000)
Mg (0.500, 0.500, 0.500)
Ti (0.000, 0.000, 0.200)
Ti (0.000, 0.000, 0.800)

Properties
- VASP energy (Ry per atom) = -0.4786
- magnetization (μB/f.u.) = 0.03
- E_form (eV/atom) = -0.05
- calculated volume (Å³ per atom) = 16.22

2.
Compound: CaLa2OsN4
Source: the Alexandria database
Functional: PBE
Structure: optimized geometry

a = 3.549 Å, b = 6.575 Å, c = 12.212 Å
α = 90.00°, β = 90.00°, γ = 105.65°
Atoms (fractional coordinates):
La (0.369, 0.739, 0.968)
La (0.631, 0.261, 0.468)
La (0.369, 0.739, 0.532)
La (0.631, 0.261, 0.032)
N (0.414, 0.829, 0.750)
N (0.000, 0.000, 0.500)
N (0.738, 0.476, 0.636)
N (0.262, 0.524, 0.136)
N (0.262, 0.524, 0.364)
N (0.586, 0.171, 0.250)
N (0.000, 0.000, 0.000)
N (0.738, 0.476, 0.864)
Ca (0.139, 0.278, 0.750)
Ca (0.861, 0.722, 0.250)
Os (0.149, 0.299, 0.250)
Os (0.851, 0.701, 0.750)

Properties
- VASP energy (Ry per atom) = -0.5668
- formation energy from raw total energies (meV/atom) = -664
- magnetization (μB/f.u.) = 0.00
- calculated volume (Å³ per atom) = 17.15

3.
Compound: FeCo4
Source: the Alexandria database
Functional: PBE
Structure: optimized geometry

a = 4.702 Å, b = 4.702 Å, c = 4.702 Å
α = 95.01°, β = 95.01°, γ = 145.61°
Atoms (fractional coordinates):
Co (0.203, 0.396, 0.599)
Co (0.596, 0.197, 0.792)
Co (0.397, 0.804, 0.201)
Co (0.004, 0.003, 0.008)
Fe (0.800, 0.600, 0.400)

Properties
- excess energy over the best structure of this formula in the dataset (meV per atom) = 0
- VASP energy (Ry per atom) = -0.5399
- magnetization (μB/f.u.) = 9.61
- E_form (eV/atom) = 0.03
- calculated volume (Å³ per atom) = 11.22

4.
Compound: Li2PmPd
Source: the Alexandria database
Functional: PBE
Structure: optimized geometry

a = 3.096 Å, b = 3.096 Å, c = 10.411 Å
α = 81.45°, β = 81.45°, γ = 60.00°
Atoms (fractional coordinates):
Li (0.895, 0.895, 0.314)
Li (0.105, 0.105, 0.686)
Pm (0.000, 0.000, 0.000)
Pd (0.500, 0.500, 0.500)

Properties
- excess energy over the best structure of this formula in the dataset (meV per atom) = 388
- VASP energy (Ry per atom) = -0.2491
- magnetization (μB/f.u.) = 0.42
- E_form (eV/atom) = 0.05
- calculated volume (Å³ per atom) = 21.29

5.
Compound: SmSiAg
Source: the Alexandria database
Functional: PBE
Structure: optimized geometry

a = 3.824 Å, b = 4.431 Å, c = 4.431 Å
α = 120.00°, β = 90.00°, γ = 90.00°
Atoms (fractional coordinates):
Ag (0.167, 0.667, 0.333)
Sm (0.667, 0.333, 0.667)
Si (0.166, 0.000, 0.000)

Properties
- VASP energy (Ry per atom) = -0.3548
- formation energy from raw total energies (meV/atom) = -496
- magnetization (μB/f.u.) = 0.00
- calculated volume (Å³ per atom) = 21.68

6.
Compound: Ba2Ga2Sb
Source: the Alexandria database
Functional: PBE
Structure: optimized geometry

a = 4.086 Å, b = 4.086 Å, c = 10.710 Å
α = 79.00°, β = 79.00°, γ = 90.00°
Atoms (fractional coordinates):
Sb (0.000, 0.000, 0.000)
Ga (0.250, 0.750, 0.500)
Ga (0.750, 0.250, 0.500)
Ba (0.599, 0.599, 0.801)
Ba (0.401, 0.401, 0.199)

Properties
- excess energy over the best structure of this formula in the dataset (meV per atom) = 26
- VASP energy (Ry per atom) = -0.2402
- formation energy from raw total energies (meV/atom) = -464
- magnetization (μB/f.u.) = 0.00
- calculated volume (Å³ per atom) = 34.43